Computed, not measured: a relaxed CaNb2FeRh crystal at the GGA-PBE level of DFT.

* spin magnetization: 0.117 Bohr magnetons per cell
* ΔH_f (0 K): 2.3817 eV/atom
* final energy: -5.209 eV/atom

Lattice parameters (Å, degrees): 4.7166 4.5250 4.7166 90.00 90.00 90.00
Each line ends with the local moment (μB).
Fractional positions:
Nb 0.0000 0.0000 0.5000  -0.08
Nb 0.5000 0.0000 0.0000  -0.03
Ca 0.0000 0.0000 0.0000  0.00
Rh 0.0000 0.5000 0.0000  0.02
Fe 0.5000 0.5000 0.5000  -0.04

Computed, not measured: a relaxed CaNb2FeSe crystal at the GGA-PBE level of DFT.

* spin magnetization: 0.869 Bohr magnetons per cell
* raw formation energy: 2.11 eV per atom
* final energy: -4.707 eV/atom

Lattice parameters (Å, degrees): 4.9991 4.1999 4.9991 90.00 90.00 90.00
Each line ends with the local moment (μB).
Fractional positions:
Nb 0.0000 0.0000 0.5000  -0.38
Nb 0.5000 0.0000 0.0000  -0.40
Ca 0.0000 0.0000 0.0000  -0.06
Fe 0.0000 0.5000 0.0000  1.88
Se 0.5000 0.5000 0.5000  0.03

> Which of these has the highest final energy?

CaNb2FeSe